Record 1
A plane-wave DFT calculation with GGA-PBE was carried out for PtC8N2Cl6 after structural relaxation.

Unit cell a=7.6838 b=7.6838 c=7.6838 alpha=60.00 beta=60.00 gamma=60.00
Last column: nearest neighbours and their distance in Å.
Sites, in units of the cell vectors:
Pt (0.0000, 0.0000, 0.0000)  6 Cl 2.33
C (0.9798, 0.6734, 0.6734)  1 N 1.44
C (0.6734, 0.6734, 0.9798)  1 N 1.44
C (0.6734, 0.9798, 0.6734)  1 N 1.44
C (0.6734, 0.6734, 0.6734)  1 N 1.44
C (0.0202, 0.3266, 0.3266)  1 N 1.44
C (0.3266, 0.3266, 0.0202)  1 N 1.44
C (0.3266, 0.0202, 0.3266)  1 N 1.44
C (0.3266, 0.3266, 0.3266)  1 N 1.44
N (0.7500, 0.7500, 0.7500)  4 C 1.44
N (0.2500, 0.2500, 0.2500)  4 C 1.44
Cl (0.2142, 0.7858, 0.7858)  1 Pt 2.33
Cl (0.2142, 0.2142, 0.7858)  1 Pt 2.33
Cl (0.2142, 0.7858, 0.2142)  1 Pt 2.33
Cl (0.7858, 0.2142, 0.2142)  1 Pt 2.33
Cl (0.7858, 0.7858, 0.2142)  1 Pt 2.33
Cl (0.7858, 0.2142, 0.7858)  1 Pt 2.33

Space group: Fm-3m (225)
Formation energy without anion corrections in eV per atom: 2.252

Record 2
A plane-wave DFT calculation with GGA-PBE was carried out for PtC4N2Cl6 after structural relaxation.

Unit cell a=7.7788 b=7.7788 c=7.7788 alpha=128.72 beta=115.52 gamma=86.77
Last column: nearest neighbours and their distance in Å.
Sites, in units of the cell vectors:
Pt (0.0000, 0.0000, 0.0000)  6 Cl 2.35-2.36
C (0.1160, 0.3890, 0.7270)  1 N 1.26
C (0.3380, 0.6110, 0.7270)  1 N 1.26
C (0.6620, 0.3890, 0.2730)  1 N 1.26
C (0.8840, 0.6110, 0.2730)  1 N 1.26
N (0.2276, 0.5000, 0.7276)  2 C 1.26
N (0.7724, 0.5000, 0.2725)  2 C 1.26
Cl (0.8504, 0.0926, 0.2422)  1 Pt 2.35, 2 C 2.60
Cl (0.1496, 0.9074, 0.7578)  1 Pt 2.35, 2 C 2.60
Cl (0.8504, 0.6082, 0.7578)  1 Pt 2.35, 2 C 2.60
Cl (0.1496, 0.3918, 0.2422)  1 Pt 2.35, 2 C 2.60
Cl (0.2840, 0.0000, 0.2840)  1 Pt 2.36
Cl (0.7160, 0.0000, 0.7160)  1 Pt 2.36

Space group: Immm (71)
Formation energy without anion corrections in eV per atom: 0.775

Record 3
A plane-wave DFT calculation with GGA-PBE was carried out for Pu6C2N3Cl after structural relaxation.

Unit cell a=3.5741 b=7.2531 c=8.0231 alpha=102.79 beta=102.87 gamma=90.00
Last column: nearest neighbours and their distance in Å.
Sites, in units of the cell vectors:
Pu (0.3211, 0.9097, 0.6422)  3 N 2.44-2.59, 2 C 2.53, 1 Cl 2.73
Pu (0.6687, 0.5797, 0.3374)  3 N 2.54-2.57, 3 C 2.56-2.64
Pu (0.6789, 0.0903, 0.3578)  3 N 2.44-2.59, 2 C 2.53, 1 Cl 2.73
Pu (0.9970, 0.2779, 0.9940)  3 N 2.40-2.41, 1 C 2.46
Pu (0.0030, 0.7221, 0.0060)  3 N 2.40-2.41, 1 C 2.46
Pu (0.3313, 0.4203, 0.6626)  3 N 2.54-2.57, 3 C 2.56-2.64
C (0.8420, 0.6768, 0.6840)  6 Pu 2.46-2.64
C (0.1580, 0.3232, 0.3160)  6 Pu 2.46-2.64
N (0.5000, 0.5000, 0.0000)  6 Pu 2.40-2.57
N (0.8391, 0.1750, 0.6782)  6 Pu 2.41-2.59
N (0.1609, 0.8250, 0.3218)  6 Pu 2.41-2.59
Cl (0.5000, 0.0000, 0.0000)  6 Pu 2.70-2.73

Space group: C2/m (12)
Formation energy without anion corrections in eV per atom: -0.771

Record 4
A plane-wave DFT calculation with GGA-PBE was carried out for Pu4CNCl2 after structural relaxation.

Unit cell a=3.5556 b=6.1336 c=7.5469 alpha=105.85 beta=90.00 gamma=90.00
Last column: nearest neighbours and their distance in Å.
Sites, in units of the cell vectors:
Pu (0.5000, 0.2271, 0.1900)  2 N 2.46, 1 C 2.48
Pu (0.5000, 0.7729, 0.8100)  2 N 2.46, 1 C 2.48
Pu (0.0000, 0.2661, 0.8096)  1 N 2.45, 2 C 2.48
Pu (0.0000, 0.7339, 0.1904)  1 N 2.45, 2 C 2.48
C (0.5000, 0.5000, 0.0000)  6 Pu 2.48
N (0.0000, 0.0000, 0.0000)  6 Pu 2.45-2.46
Cl (0.5000, 0.0000, 0.5000)  6 Pu 3.03
Cl (0.0000, 0.5000, 0.5000)  6 Pu 3.05-3.06

Space group: P2/m (10)
Formation energy without anion corrections in eV per atom: -0.989

Record 5
A plane-wave DFT calculation with GGA-PBE was carried out for Rb2CNCl6 after structural relaxation.

Unit cell a=7.3189 b=7.3189 c=6.8890 alpha=57.91 beta=57.91 gamma=90.00
Last column: nearest neighbours and their distance in Å.
Sites, in units of the cell vectors:
C (0.5000, 0.5000, 0.0000)  4 Cl 2.14
N (0.0000, 0.0000, 0.0000)  2 Cl 2.03
Rb (0.7500, 0.2500, 0.5000)  12 Cl 3.47-3.67
Rb (0.2500, 0.7500, 0.5000)  12 Cl 3.47-3.67
Cl (0.2227, 0.2227, 0.5546)  1 N 2.03
Cl (0.7773, 0.7773, 0.4454)  1 N 2.03
Cl (0.2931, 0.2931, 0.0000)  1 C 2.14
Cl (0.7069, 0.7069, 0.0000)  1 C 2.14
Cl (0.7069, 0.2931, 0.0000)  1 C 2.14
Cl (0.2931, 0.7069, 0.0000)  1 C 2.14

Space group: I4/mmm (139)
Formation energy without anion corrections in eV per atom: 0.054

Record 6
A plane-wave DFT calculation with GGA-PBE was carried out for SbCNCl6 after structural relaxation.

Unit cell a=8.1190 b=10.3728 c=13.5204 alpha=90.00 beta=90.00 gamma=90.00
Last column: nearest neighbours and their distance in Å.
Sites, in units of the cell vectors:
C (0.1546, 0.7500, 0.5501)  1 N 1.17
C (0.6546, 0.2500, 0.9499)  1 N 1.17
C (0.8454, 0.2500, 0.4499)  1 N 1.17
C (0.3454, 0.7500, 0.0501)  1 N 1.17
Cl (0.7162, 0.9112, 0.5239)  1 Sb 2.38
Cl (0.2162, 0.0888, 0.9761)  1 Sb 2.38
Cl (0.2838, 0.4112, 0.4761)  1 Sb 2.38
Cl (0.7838, 0.5888, 0.0239)  1 Sb 2.38
Cl (0.2838, 0.0888, 0.4761)  1 Sb 2.38
Cl (0.7838, 0.9112, 0.0239)  1 Sb 2.38
Cl (0.7162, 0.5888, 0.5239)  1 Sb 2.38
Cl (0.2162, 0.4112, 0.9761)  1 Sb 2.38
Cl (0.5450, 0.7500, 0.3211)  1 Sb 2.36
Cl (0.0450, 0.2500, 0.1789)  1 Sb 2.36
Cl (0.4550, 0.2500, 0.6789)  1 Sb 2.36
Cl (0.9550, 0.7500, 0.8211)  1 Sb 2.36
Cl (0.3110, 0.7500, 0.6214)  1 C 1.59
Cl (0.8110, 0.2500, 0.8786)  1 C 1.59
Cl (0.6890, 0.2500, 0.3786)  1 C 1.59
Cl (0.1890, 0.7500, 0.1214)  1 C 1.59
Cl (0.9268, 0.9112, 0.3109)  1 Sb 2.38
Cl (0.4268, 0.0888, 0.1891)  1 Sb 2.38
Cl (0.0732, 0.4112, 0.6891)  1 Sb 2.38
Cl (0.5732, 0.5888, 0.8109)  1 Sb 2.38
Cl (0.0732, 0.0888, 0.6891)  1 Sb 2.38
Cl (0.5732, 0.9112, 0.8109)  1 Sb 2.38
Cl (0.9268, 0.5888, 0.3109)  1 Sb 2.38
Cl (0.4268, 0.4112, 0.1891)  1 Sb 2.38
N (0.0405, 0.7500, 0.4979)  1 C 1.17
N (0.5405, 0.2500, 0.0021)  1 C 1.17
N (0.9595, 0.2500, 0.5021)  1 C 1.17
N (0.4595, 0.7500, 0.9979)  1 C 1.17
Sb (0.7968, 0.7500, 0.4089)  1 N 2.32, 5 Cl 2.36-2.38
Sb (0.2968, 0.2500, 0.0911)  1 N 2.32, 5 Cl 2.36-2.38
Sb (0.2032, 0.2500, 0.5911)  1 N 2.32, 5 Cl 2.36-2.38
Sb (0.7032, 0.7500, 0.9089)  1 N 2.32, 5 Cl 2.36-2.38

Space group: Pnma (62)
Formation energy without anion corrections in eV per atom: -0.347

Which of these has the highest formation energy without anion corrections?
PtC8N2Cl6

formation energy without anion corrections of number 5 (Rb2CNCl6)?
0.054 eV per atom